[1]
The following is a PBE calculation of crystalline LaDyGa at its relaxed geometry, from the Alexandria database.

a b c (Å): 5.0849 5.0849 5.0849
angles (deg): 60.00 60.00 60.00
Fractional positions:
Ga1 0.2500 0.2500 0.2500
La1 0.5000 0.5000 0.5000
Dy1 0.0000 0.0000 0.0000

Results
Final energy ... -4.43 eV per atom
Offset from the most stable computed form ... 139 meV/atom
D(E_F) ... 1.445 states/eV/atom
SG ... No. 216
Theoretical density ... 6.629 Mg/m³

---

[2]
The following is a PBE calculation of crystalline NpInPbO6 at its relaxed geometry, from the Alexandria database.

a b c (Å): 5.6321 5.6321 10.6587
angles (deg): 90.00 90.00 120.00
Fractional positions:
O1 0.0218 0.6456 0.8562
O2 0.6238 0.6456 0.6438
O3 0.0218 0.3762 0.6438
O4 0.6238 0.9782 0.8562
O5 0.3544 0.9782 0.6438
O6 0.6456 0.6238 0.1438
O7 0.9782 0.6238 0.3562
O8 0.3544 0.3762 0.8562
O9 0.6456 0.0218 0.3562
O10 0.3762 0.0218 0.1438
O11 0.3762 0.3544 0.3562
O12 0.9782 0.3544 0.1438
In1 0.6667 0.3333 0.7500
In2 0.3333 0.6667 0.2500
Pb1 0.0000 0.0000 0.5000
Pb2 0.0000 0.0000 0.0000
Np1 0.3333 0.6667 0.7500
Np2 0.6667 0.3333 0.2500

Results
Final energy ... -7.37 eV per atom
Formation energy from raw total energies ... -1.91 eV per atom
SG ... No. 163
Theoretical density ... 7.429 Mg/m³

---

[3]
The following is a PBE calculation of crystalline LaTeSeN2 at its relaxed geometry, from the Alexandria database.

a b c (Å): 4.2740 4.2740 5.2983
angles (deg): 90.00 90.00 90.00
Fractional positions:
N1 0.0000 0.5000 0.0000
N2 0.5000 0.0000 0.0000
Se1 0.0000 0.0000 0.5000
La1 0.5000 0.5000 0.5000
Te1 0.0000 0.0000 0.0000

Results
Final energy ... -5.38 eV per atom
Formation energy from raw total energies ... 0.26 eV per atom
Offset from the most stable computed form ... 0 meV/atom
D(E_F) ... 0.506 states/eV/atom
SG ... No. 123
Theoretical density ... 6.408 Mg/m³

---

[4]
The following is a PBE calculation of crystalline Zr2MoRh at its relaxed geometry, from the Alexandria database.

a b c (Å): 4.1742 4.1742 9.6932
angles (deg): 77.57 77.57 90.00
Fractional positions:
Rh1 0.0000 0.0000 0.0000
Rh2 0.7500 0.2500 0.5000
Zr1 0.8750 0.8734 0.7500
Zr2 0.6234 0.1250 0.2500
Zr3 0.1266 0.6250 0.2500
Zr4 0.3750 0.3766 0.7500
Mo1 0.5000 0.5000 0.0000
Mo2 0.2500 0.7500 0.5000

Results
Final energy ... -8.32 eV per atom
D(E_F) ... 1.407 states/eV/atom
SG ... No. 122
Theoretical density ... 7.871 Mg/m³

---

[5]
The following is a PBE calculation of crystalline Mg5CdCu4 at its relaxed geometry, from the Alexandria database.

a b c (Å): 3.2254 3.2254 16.1201
angles (deg): 90.00 90.00 90.00
Fractional positions:
Mg1 0.5000 0.5000 0.5000
Mg2 0.5000 0.5000 0.3123
Mg3 0.5000 0.5000 0.8756
Mg4 0.5000 0.5000 0.6877
Mg5 0.5000 0.5000 0.1244
Cu1 0.0000 0.0000 0.4067
Cu2 0.0000 0.0000 0.7807
Cu3 0.0000 0.0000 0.2193
Cu4 0.0000 0.0000 0.5933
Cd1 0.0000 0.0000 0.0000

Results
Final energy ... -2.63 eV per atom
D(E_F) ... 0.305 states/eV/atom
SG ... No. 123
Theoretical density ... 4.833 Mg/m³

---

[6]
The following is a PBE calculation of crystalline DyCuRh2 at its relaxed geometry, from the Alexandria database.

a b c (Å): 4.5241 4.5241 4.5241
angles (deg): 60.00 60.00 60.00
Fractional positions:
Rh1 0.7500 0.7500 0.7500
Rh2 0.2500 0.2500 0.2500
Cu1 0.5000 0.5000 0.5000
Dy1 0.0000 0.0000 0.0000

Results
Final energy ... -6.26 eV per atom
Offset from the most stable computed form ... 52 meV/atom
D(E_F) ... 0.464 states/eV/atom
SG ... No. 225
Theoretical density ... 10.953 Mg/m³